1.
Entry from Alexandria: Tb3Er5Th after structural relaxation (GGA-PBE).

The structure belongs to space group I4/mcm (No. 140); the cell edges are 8.789, 8.789 and 14.821 Å and the angles 90.00°, 90.00° and 90.00°. The distinct sites, in fractional coordinates, are Tb at (0.000, 0.000, 0.250), Tb at (0.113, 0.387, 0.000), Er at (0.000, 0.000, 0.000), Er at (0.209, 0.291, 0.366) and Th at (0.000, 0.500, 0.250).

The value obtained for the density is 8.96 g cm⁻³. The formation enthalpy at 0 K comes out at 0.313 eV per atom.

***

2.
Entry from Alexandria: Tb8Er5Th after structural relaxation (GGA-PBE).

The structure belongs to space group I-4 (No. 82); the cell edges are 9.528, 9.528 and 10.094 Å and the angles 90.00°, 90.00° and 90.00°. The distinct sites, in fractional coordinates, are Tb at (0.069, 0.174, 0.345), Tb at (0.093, 0.327, 0.000), Er at (0.000, 0.500, 0.250), Er at (0.114, 0.293, 0.674) and Th at (0.000, 0.000, 0.000).

The value obtained for the density is 8.48 g cm⁻³. The formation enthalpy at 0 K comes out at 0.291 eV per atom.

***

3.
Entry from Alexandria: Tb5Er2Th after structural relaxation (GGA-PBE).

The structure belongs to space group Pbam (No. 55); the cell edges are 7.102, 14.221 and 5.019 Å and the angles 90.00°, 90.00° and 90.00°. The distinct sites, in fractional coordinates, are Tb at (0.000, 0.000, 0.000), Tb at (0.004, 0.251, 0.000), Tb at (0.247, 0.376, 0.500), Er at (0.243, 0.623, 0.500) and Th at (0.000, 0.500, 0.000).

The value obtained for the density is 8.92 g cm⁻³. The formation enthalpy at 0 K comes out at 0.025 eV per atom.

***

4.
Entry from Alexandria: Tb2Er8Th3 after structural relaxation (GGA-PBE).

The structure belongs to space group C2/m (No. 12); the cell edges are 22.994, 5.567 and 6.655 Å and the angles 90.00°, 102.59° and 90.00°. The distinct sites, in fractional coordinates, are Tb at (0.231, 0.000, 0.313), Er at (0.076, 0.000, 0.089), Er at (0.122, 0.500, 0.487), Er at (0.169, 0.500, 0.031), Er at (0.176, 0.000, 0.764), Th at (0.000, 0.000, 0.500) and Th at (0.014, 0.500, 0.778).

The value obtained for the density is 9.40 g cm⁻³. The offset from the most stable computed form comes out at 0 meV per atom. The formation enthalpy at 0 K comes out at 0.102 eV per atom.

***

5.
Entry from Alexandria: Tb3Er2Th6 after structural relaxation (GGA-PBE).

The structure belongs to space group R-3m (No. 166, hexagonal axes); the cell edges are 3.5715, 3.5715 and 94.9930 Å and the angles 90.00°, 90.00° and 120.00°. The distinct sites, in fractional coordinates, are Tb at (0.0000, 0.0000, 0.0000), Tb at (0.0000, 0.0000, 0.2727), Er at (0.0000, 0.0000, 0.4543), Th at (0.0000, 0.0000, 0.0911), Th at (0.0000, 0.0000, 0.1816) and Th at (0.0000, 0.0000, 0.3637).

The value obtained for the density is 10.46 g cm⁻³. The formation enthalpy at 0 K comes out at 0.032 eV per atom.

***

6.
Entry from Alexandria: TbErTh after structural relaxation (GGA-PBE).

The structure belongs to space group I4mm (No. 107); the cell edges are 3.572, 3.572 and 14.931 Å and the angles 90.00°, 90.00° and 90.00°. The distinct sites, in fractional coordinates, are Tb at (0.000, 0.000, 0.000), Er at (0.000, 0.000, 0.677) and Th at (0.000, 0.000, 0.337).

The value obtained for the density is 9.73 g cm⁻³. The offset from the most stable computed form comes out at 5 meV per atom. The formation enthalpy at 0 K comes out at 0.025 eV per atom.

***

7.
Entry from Alexandria: Tb7Er2Th2 after structural relaxation (GGA-PBE).

The structure belongs to space group C2/m (No. 12); the cell edges are 11.134, 11.411 and 6.094 Å and the angles 90.00°, 113.06° and 90.00°. The distinct sites, in fractional coordinates, are Tb at (0.000, 0.000, 0.000), Tb at (0.175, 0.237, 0.172), Tb at (0.234, 0.000, 0.584), Er at (0.000, 0.219, 0.500) and Th at (0.079, 0.500, 0.805).

The value obtained for the density is 8.91 g cm⁻³. The offset from the most stable computed form comes out at 0 meV per atom. The formation enthalpy at 0 K comes out at 0.178 eV per atom.

***

8.
Entry from Alexandria: Tb3Er7Th after structural relaxation (GGA-PBE).

The structure belongs to space group P2/m (No. 10); the cell edges are 6.915, 5.455 and 9.932 Å and the angles 90.00°, 110.16° and 90.00°. The distinct sites, in fractional coordinates, are Tb at (0.000, 0.000, 0.000), Tb at (0.279, 0.500, 0.496), Er at (0.000, 0.000, 0.500), Er at (0.157, 0.500, 0.790), Er at (0.314, 0.500, 0.140), Er at (0.421, 0.000, 0.330) and Th at (0.500, 0.000, 0.000).

The value obtained for the density is 8.88 g cm⁻³. The offset from the most stable computed form comes out at 0 meV per atom. The formation enthalpy at 0 K comes out at 0.155 eV per atom.

***

9.
Entry from Alexandria: TbErTh3 after structural relaxation (GGA-PBE).

The structure belongs to space group R-3 (No. 148, hexagonal axes); the cell edges are 8.5081, 8.5081 and 16.3875 Å and the angles 90.00°, 90.00° and 120.00°. The distinct sites, in fractional coordinates, are Tb at (0.0000, 0.0000, 0.0897), Er at (0.0000, 0.0000, 0.4065) and Th at (0.0208, 0.7661, 0.2415).

The value obtained for the density is 9.91 g cm⁻³. The offset from the most stable computed form comes out at 184 meV per atom. The formation enthalpy at 0 K comes out at 0.569 eV per atom.

***

10.
Entry from Alexandria: TbEr2Th5 after structural relaxation (GGA-PBE).

The structure belongs to space group Pbam (No. 55); the cell edges are 7.124, 14.280 and 5.026 Å and the angles 90.00°, 90.00° and 90.00°. The distinct sites, in fractional coordinates, are Tb at (0.000, 0.000, 0.000), Er at (0.249, 0.374, 0.500), Th at (0.000, 0.500, 0.000), Th at (0.001, 0.251, 0.000) and Th at (0.246, 0.627, 0.500).

The value obtained for the density is 10.74 g cm⁻³. The formation enthalpy at 0 K comes out at 0.051 eV per atom.

***

11.
Entry from Alexandria: TbEr4Th6 after structural relaxation (GGA-PBE).

The structure belongs to space group I-42m (No. 121); the cell edges are 6.362, 6.362 and 18.087 Å and the angles 90.00°, 90.00° and 90.00°. The distinct sites, in fractional coordinates, are Tb at (0.000, 0.000, 0.000), Er at (0.185, 0.185, 0.373), Th at (0.000, 0.500, 0.000) and Th at (0.189, 0.189, 0.190).

The value obtained for the density is 10.07 g cm⁻³. The formation enthalpy at 0 K comes out at 0.420 eV per atom.

***

12.
Entry from Alexandria: Tb2ErTh3 after structural relaxation (GGA-PBE).

The structure belongs to space group P2_1/m (No. 11); the cell edges are 10.048, 3.572 and 10.674 Å and the angles 90.00°, 90.53° and 90.00°. The distinct sites, in fractional coordinates, are Tb at (0.128, 0.250, 0.417), Tb at (0.368, 0.750, 0.913), Er at (0.377, 0.750, 0.252), Th at (0.122, 0.250, 0.083), Th at (0.125, 0.250, 0.751) and Th at (0.378, 0.750, 0.584).

The value obtained for the density is 10.24 g cm⁻³. The offset from the most stable computed form comes out at 0 meV per atom. The formation enthalpy at 0 K comes out at 0.030 eV per atom.